1.
DFT (GGA-PBE) results for an optimized crystal structure of Zn4CuAu2.

Cell and atoms, written as CIF:
```
data_Zn4CuAu2
_chemical_formula_sum 'Zn12 Cu3 Au6'
_cell_length_a 4.4023
_cell_length_b 4.4023
_cell_length_c 20.6570
_cell_angle_alpha 90.00
_cell_angle_beta 90.00
_cell_angle_gamma 120.00
_symmetry_space_group_name_H-M 'R -3 m'
_symmetry_Int_Tables_number 166
_symmetry_space_group_name_Hall '-R 3 2"'
loop_
_atom_site_label
_atom_site_fract_x
_atom_site_fract_y
_atom_site_fract_z
Zn1 0.0000 0.0000 0.1179
Zn2 0.0000 0.0000 0.3733
Cu1 0.0000 0.0000 0.5000
Au1 0.0000 0.0000 0.2477
```

Magnetization (μB per cell): 0.0
Energy of formation from the pure elements (meV per atom): -149
ΔE to the lowest computed polymorph (meV per atom): 0.0

---

2.
DFT (GGA-PBE) results for an optimized crystal structure of YOsAu.

Cell and atoms, written as CIF:
```
data_YOsAu
_chemical_formula_sum 'Y2 Os2 Au2'
_cell_length_a 3.521
_cell_length_b 3.521
_cell_length_c 9.621
_cell_angle_alpha 90.00
_cell_angle_beta 90.00
_cell_angle_gamma 90.00
_symmetry_space_group_name_H-M 'I 4 m m'
_symmetry_Int_Tables_number 107
_symmetry_space_group_name_Hall 'I 4 -2'
loop_
_atom_site_label
_atom_site_fract_x
_atom_site_fract_y
_atom_site_fract_z
Y1 0.000 0.000 0.000
Os1 0.000 0.000 0.676
Au1 0.000 0.000 0.310
```

Magnetization (μB per cell): 0.0
Energy of formation from the pure elements (meV per atom): 96
ΔE to the lowest computed polymorph (meV per atom): 125.4

---

3.
DFT (GGA-PBE) results for an optimized crystal structure of SrCd10Pd2.

Cell and atoms, written as CIF:
```
data_SrCd10Pd2
_chemical_formula_sum 'Sr4 Cd40 Pd8'
_cell_length_a 5.697
_cell_length_b 14.169
_cell_length_c 14.362
_cell_angle_alpha 90.00
_cell_angle_beta 90.00
_cell_angle_gamma 90.00
_symmetry_space_group_name_H-M 'F m m m'
_symmetry_Int_Tables_number 69
_symmetry_space_group_name_Hall '-F 2 2'
loop_
_atom_site_label
_atom_site_fract_x
_atom_site_fract_y
_atom_site_fract_z
Sr1 0.000 0.000 0.000
Cd1 0.000 0.112 0.396
Cd2 0.000 0.182 0.165
Cd3 0.250 0.000 0.250
Pd1 0.250 0.250 0.000
```

Magnetization (μB per cell): 0.0
Energy of formation from the pure elements (meV per atom): -233

---

4.
DFT (GGA-PBE) results for an optimized crystal structure of PaTcGe2Os.

Cell and atoms, written as CIF:
```
data_PaTcGe2Os
_chemical_formula_sum 'Pa2 Tc2 Ge4 Os2'
_cell_length_a 4.285
_cell_length_b 4.285
_cell_length_c 9.821
_cell_angle_alpha 90.00
_cell_angle_beta 90.00
_cell_angle_gamma 90.00
_symmetry_space_group_name_H-M 'I -4 m 2'
_symmetry_Int_Tables_number 119
_symmetry_space_group_name_Hall 'I -4 -2'
loop_
_atom_site_label
_atom_site_fract_x
_atom_site_fract_y
_atom_site_fract_z
Pa1 0.000 0.000 0.000
Tc1 0.000 0.500 0.250
Ge1 0.000 0.000 0.374
Os1 0.000 0.500 0.750
```

Magnetization (μB per cell): 0.0
Energy of formation from the pure elements (meV per atom): -331

---

5.
DFT (GGA-PBE) results for an optimized crystal structure of K4Ac3NdSe8.

Cell and atoms, written as CIF:
```
data_K4Ac3NdSe8
_chemical_formula_sum 'K12 Ac9 Nd3 Se24'
_cell_length_a 9.0538
_cell_length_b 9.0538
_cell_length_c 23.1627
_cell_angle_alpha 90.00
_cell_angle_beta 90.00
_cell_angle_gamma 120.00
_symmetry_space_group_name_H-M 'R -3 m'
_symmetry_Int_Tables_number 166
_symmetry_space_group_name_Hall '-R 3 2"'
loop_
_atom_site_label
_atom_site_fract_x
_atom_site_fract_y
_atom_site_fract_z
K1 0.0000 0.0000 0.0000
K2 0.0000 0.5000 0.0000
Ac1 0.0000 0.5000 0.5000
Nd1 0.0000 0.0000 0.5000
Se1 0.0000 0.0000 0.2400
Se2 0.0100 0.5050 0.2382
```

Magnetization (μB per cell): 0.0
E_form (uncorrected) (eV/atom): -1.7957

---

6.
DFT (GGA-PBE) results for an optimized crystal structure of Er2Tm5Tc2Ag.

Cell and atoms, written as CIF:
```
data_Er2Tm5Tc2Ag
_chemical_formula_sum 'Er4 Tm10 Tc4 Ag2'
_cell_length_a 11.300
_cell_length_b 11.300
_cell_length_c 3.953
_cell_angle_alpha 90.00
_cell_angle_beta 90.00
_cell_angle_gamma 90.00
_symmetry_space_group_name_H-M 'P 4/m b m'
_symmetry_Int_Tables_number 127
_symmetry_space_group_name_Hall '-P 4 2ab'
loop_
_atom_site_label
_atom_site_fract_x
_atom_site_fract_y
_atom_site_fract_z
Er1 0.174 0.326 0.000
Tm1 0.000 0.500 0.500
Tm2 0.071 0.791 0.500
Tc1 0.126 0.626 0.000
Ag1 0.000 0.000 0.000
```

Magnetization (μB per cell): 0.0
Energy of formation from the pure elements (meV per atom): -130

---

Number 1: electronic total energy -2.40 eV per atom. Number 2: electronic total energy -6.89 eV per atom. Number 3: electronic total energy -1.87 eV per atom. Number 4: electronic total energy -8.40 eV per atom. Number 5: electronic total energy -4.88 eV per atom. Number 6: electronic total energy -5.64 eV per atom.